[1]
Mg4H3Ir3 | PBE | optimized geometry

a = 5.4710 Å, b = 5.4719 Å, c = 5.4716 Å
α = 109.54°, β = 71.03°, γ = 70.09°
With the nearest neighbours (Å) after each atom.
Fractional coordinates of all 10 atoms:
Mg1 0.5326 0.3404 0.8803  3 H 2.21-2.26
Mg2 0.0331 0.3403 0.3798  3 H 2.21-2.26
H1 0.7677 0.6069 0.8821  1 Ir 1.63
H2 0.5277 0.0800 0.1149  1 Ir 1.69
Ir1 0.0277 0.3470 0.8818  1 H 1.63
Ir2 0.0334 0.8416 0.3820  8 Mg 2.73-2.74
H3 0.5277 0.6140 0.6490  1 Ir 1.69
Ir3 0.5302 0.3446 0.3819  2 H 1.69
Mg3 0.0335 0.8438 0.8833  3 H 2.21-2.26
Mg4 0.5330 0.8438 0.3837  3 H 2.21-2.26

Space-group type: Imm2 (44)
Crystal system: orthorhombic
VASP energy, eV per atom: -4.61

***

[2]
Ac4Si2SeCl | PBE | optimized geometry

a = 6.3687 Å, b = 6.3688 Å, c = 7.7652 Å
α = 114.21°, β = 114.21°, γ = 90.00°
With the nearest neighbours (Å) after each atom.
Fractional coordinates of all 8 atoms:
Ac1 0.6902 0.6902 0.5061  1 Se 3.12, 4 Si 3.18, 1 Cl 3.20
Ac2 0.1841 0.1841 0.4939  1 Se 3.12, 4 Si 3.18, 1 Cl 3.20
Si1 0.6872 0.1872 0.5000  6 Ac 3.16-3.18
Si2 0.1872 0.6872 0.5000  6 Ac 3.16-3.18
Ac3 0.9373 0.4372 0.0000  2 Si 3.16, 2 Cl 3.18-3.19, 2 Se 3.18-3.19
Ac4 0.4372 0.9373 0.0000  2 Si 3.16, 2 Cl 3.18-3.19, 2 Se 3.18
Se1 0.9371 0.9371 0.0000  6 Ac 3.12-3.19
Cl1 0.4371 0.4371 0.0000  6 Ac 3.18-3.20

ΔE_f (raw), kcal/mol of atoms: -27.47
Space-group type: I4/mmm (139)
Crystal system: tetragonal

***

[3]
EuCdPtAu | PBE | optimized geometry

a = 4.9700 Å, b = 4.9700 Å, c = 4.9700 Å
α = 60.00°, β = 60.00°, γ = 60.00°
With the nearest neighbours (Å) after each atom.
Fractional coordinates of all 4 atoms:
Cd1 0.5000 0.5000 0.5000  4 Au 3.04, 4 Pt 3.04
Eu1 0.0000 0.0000 0.0000  4 Pt 3.04, 4 Au 3.04
Au1 0.2500 0.2500 0.2500  4 Cd 3.04, 4 Eu 3.04
Pt1 0.7500 0.7500 0.7500  4 Eu 3.04, 4 Cd 3.04

Space-group type: F-43m (216)
Crystal system: cubic
VASP energy, eV per atom: -5.68

***

[4]
LiGdBiPt | PBE | optimized geometry

a = 4.9448 Å, b = 4.9448 Å, c = 4.9448 Å
α = 60.00°, β = 60.00°, γ = 60.00°
With the nearest neighbours (Å) after each atom.
Fractional coordinates of all 4 atoms:
Li1 0.2500 0.2500 0.2500  4 Gd 3.03, 4 Bi 3.03
Gd1 0.5000 0.5000 0.5000  4 Li 3.03, 4 Pt 3.03
Pt1 0.7500 0.7500 0.7500  4 Gd 3.03, 4 Bi 3.03
Bi1 0.0000 0.0000 0.0000  4 Li 3.03, 4 Pt 3.03

Space-group type: F-43m (216)
Crystal system: cubic
VASP energy, eV per atom: -7.15

***

What did the fourth record say?
LiGdBiPt | PBE | optimized geometry

a = 4.9448 Å, b = 4.9448 Å, c = 4.9448 Å
α = 60.00°, β = 60.00°, γ = 60.00°
With the nearest neighbours (Å) after each atom.
Fractional coordinates of all 4 atoms:
Li1 0.2500 0.2500 0.2500  4 Gd 3.03, 4 Bi 3.03
Gd1 0.5000 0.5000 0.5000  4 Li 3.03, 4 Pt 3.03
Pt1 0.7500 0.7500 0.7500  4 Gd 3.03, 4 Bi 3.03
Bi1 0.0000 0.0000 0.0000  4 Li 3.03, 4 Pt 3.03

Space-group type: F-43m (216)
Crystal system: cubic
VASP energy, eV per atom: -7.15

***

Question: Which formula does entry 2 have?
Answer: Ac4Si2SeCl

***

Copy entry 3 word for word.
EuCdPtAu | PBE | optimized geometry

a = 4.9700 Å, b = 4.9700 Å, c = 4.9700 Å
α = 60.00°, β = 60.00°, γ = 60.00°
With the nearest neighbours (Å) after each atom.
Fractional coordinates of all 4 atoms:
Cd1 0.5000 0.5000 0.5000  4 Au 3.04, 4 Pt 3.04
Eu1 0.0000 0.0000 0.0000  4 Pt 3.04, 4 Au 3.04
Au1 0.2500 0.2500 0.2500  4 Cd 3.04, 4 Eu 3.04
Pt1 0.7500 0.7500 0.7500  4 Eu 3.04, 4 Cd 3.04

Space-group type: F-43m (216)
Crystal system: cubic
VASP energy, eV per atom: -5.68